{
  "formula": "YSnTe",
  "functional": "PBE",
  "state": "optimized geometry",
  "raw_formation_energy_ev_per_atom": -0.865,
  "magnetic_moment_mub_per_cell": 0.00,
  "crystal_system": "monoclinic",
  "energy_ev_per_atom": -5.4013,
  "lattice_angstrom": [[-0.726, -4.171, 0.201], [3.972, -0.807, -1.239], [1.180, 2.685, 10.123]],
  "species": ["Y", "Y", "Te", "Te", "Sn", "Sn"],
  "frac_coords": [[0.130, 0.130, 0.792], [0.870, 0.870, 0.208], [0.682, 0.682, 0.880], [0.318, 0.318, 0.120], [0.736, 0.736, 0.479], [0.264, 0.264, 0.521]]
}

=====

{
  "formula": "NpTlHgF6",
  "functional": "PBE",
  "state": "optimized geometry",
  "raw_formation_energy_ev_per_atom": -2.591,
  "magnetic_moment_mub_per_cell": 3.99,
  "crystal_system": "trigonal",
  "energy_ev_per_atom": -5.5729,
  "lattice_angstrom": [[-4.213, -2.277, -5.694], [3.320, -4.995, 4.402], [-7.187, -0.067, 5.344]],
  "species": ["F", "F", "F", "F", "F", "F", "F", "F", "F", "F", "F", "F", "Tl", "Tl", "Np", "Np", "Hg", "Hg"],
  "frac_coords": [[0.905, 0.558, 0.380], [0.653, 0.095, 0.380], [0.442, 0.347, 0.380], [0.442, 0.095, 0.120], [0.558, 0.653, 0.620], [0.558, 0.905, 0.880], [0.905, 0.347, 0.120], [0.095, 0.442, 0.620], [0.347, 0.905, 0.620], [0.653, 0.558, 0.120], [0.347, 0.442, 0.880], [0.095, 0.653, 0.880], [0.333, 0.667, 0.250], [0.667, 0.333, 0.750], [0.667, 0.333, 0.250], [0.333, 0.667, 0.750], [0.000, 0.000, 0.000], [0.000, 0.000, 0.500]]
}

=====

{
  "formula": "YVS2",
  "functional": "PBE",
  "state": "optimized geometry",
  "raw_formation_energy_ev_per_atom": -0.921,
  "magnetic_moment_mub_per_cell": 3.74,
  "de_polymorph_mev_per_atom": 145,
  "crystal_system": "trigonal",
  "energy_ev_per_atom": -6.8802,
  "lattice_angstrom": [[2.283, 0.000, 7.718], [-1.142, 1.977, 7.718], [-1.142, -1.977, 7.718]],
  "species": ["V", "S", "S", "Y"],
  "frac_coords": [[0.000, 0.000, 0.000], [0.898, 0.898, 0.898], [0.102, 0.102, 0.102], [0.500, 0.500, 0.500]]
}